DFT (PBE) results for a relaxed structure of Pr3Hg3Au.

## Properties
The calculation puts the total energy at -22.03 eV per cell.

a = 4.929 Å, b = 3.731 Å, c = 10.959 Å
α = 99.80°, β = 103.00°, γ = 90.00°
Sites, in units of the cell vectors:
Hg1 0.148 0.648 0.296
Hg2 0.854 0.354 0.709
Hg3 0.566 0.566 0.132
Pr1 0.993 0.993 0.985
Pr2 0.312 0.812 0.624
Pr3 0.694 0.194 0.389
Au1 0.433 0.433 0.866